{
  "formula": "NaCuSb",
  "functional": "PBE-GGA",
  "state": "relaxed",
  "crystal_system": "monoclinic",
  "vol_a3_per_cell": 144.8,
  "final_energy_ev_per_cell": -20.04,
  "e_form_raw_ev_per_fu": -0.48,
  "rho_g_cm3": 4.78,
  "lattice_angstrom": [[6.050, -2.132, 0.000], [6.050, 2.132, 0.000], [-0.318, 0.000, 5.612]],
  "species": ["Na", "Na", "Cu", "Cu", "Sb", "Sb"],
  "frac_coords": [[0.119, 0.119, 0.360], [0.881, 0.881, 0.640], [0.215, 0.215, 0.909], [0.785, 0.785, 0.091], [0.404, 0.404, 0.174], [0.596, 0.596, 0.826]]
}



{
  "formula": "NaCuSb2",
  "functional": "PBE-GGA",
  "state": "relaxed",
  "crystal_system": "trigonal",
  "de_polymorph_mev_per_atom": 63,
  "vol_a3_per_cell": 103.1,
  "final_energy_ev_per_cell": -13.91,
  "e_form_raw_ev_per_fu": -0.25,
  "rho_g_cm3": 5.32,
  "lattice_angstrom": [[2.065, 1.192, 6.975], [-2.065, 1.192, 6.975], [0.000, -2.385, 6.975]],
  "species": ["Na", "Cu", "Sb", "Sb"],
  "frac_coords": [[0.000, 0.000, 0.000], [0.165, 0.165, 0.165], [0.556, 0.556, 0.556], [0.775, 0.775, 0.775]]
}



{
  "formula": "Na3CuSb4",
  "functional": "PBE-GGA",
  "state": "relaxed",
  "crystal_system": "orthorhombic",
  "vol_a3_per_cell": 212.2,
  "final_energy_ev_per_cell": -25.99,
  "e_form_raw_ev_per_fu": -1.45,
  "rho_g_cm3": 4.85,
  "lattice_angstrom": [[-1.667, 4.715, 6.751], [1.667, -4.715, 6.751], [1.667, 4.715, -6.751]],
  "species": ["Na", "Na", "Na", "Cu", "Sb", "Sb", "Sb", "Sb"],
  "frac_coords": [[0.000, 0.000, 0.000], [0.270, 0.770, 0.500], [0.730, 0.230, 0.500], [0.500, 0.500, 0.000], [0.153, 0.391, 0.762], [0.372, 0.609, 0.762], [0.628, 0.391, 0.238], [0.847, 0.609, 0.238]]
}



{
  "formula": "NaCuSb2",
  "functional": "PBE-GGA",
  "state": "relaxed",
  "crystal_system": "trigonal",
  "de_polymorph_mev_per_atom": 84,
  "vol_a3_per_cell": 103.5,
  "final_energy_ev_per_cell": -13.82,
  "e_form_raw_ev_per_fu": -0.16,
  "rho_g_cm3": 5.29,
  "lattice_angstrom": [[2.012, 1.161, 7.386], [-2.012, 1.161, 7.386], [0.000, -2.323, 7.386]],
  "species": ["Na", "Cu", "Sb", "Sb"],
  "frac_coords": [[0.000, 0.000, 0.000], [0.500, 0.500, 0.500], [0.224, 0.224, 0.224], [0.776, 0.776, 0.776]]
}



{
  "formula": "NaCuSb2",
  "functional": "PBE-GGA",
  "state": "relaxed",
  "crystal_system": "monoclinic",
  "de_polymorph_mev_per_atom": 63,
  "vol_a3_per_cell": 400.4,
  "final_energy_ev_per_cell": -55.63,
  "e_form_raw_ev_per_fu": -0.25,
  "rho_g_cm3": 5.47,
  "lattice_angstrom": [[9.461, 0.000, 0.000], [0.000, 6.426, 0.000], [0.000, 0.000, 6.587]],
  "species": ["Na", "Na", "Na", "Na", "Cu", "Cu", "Cu", "Cu", "Sb", "Sb", "Sb", "Sb", "Sb", "Sb", "Sb", "Sb"],
  "frac_coords": [[0.131, 0.202, 0.249], [0.131, 0.298, 0.749], [0.869, 0.702, 0.251], [0.869, 0.798, 0.751], [0.353, 0.563, 0.250], [0.353, 0.937, 0.750], [0.647, 0.063, 0.250], [0.647, 0.437, 0.750], [0.172, 0.750, 0.000], [0.172, 0.750, 0.500], [0.457, 0.250, 0.000], [0.457, 0.250, 0.500], [0.543, 0.750, 0.000], [0.543, 0.750, 0.500], [0.828, 0.250, 0.000], [0.828, 0.250, 0.500]]
}



{
  "formula": "Na5CuSb2",
  "functional": "PBE-GGA",
  "state": "relaxed",
  "crystal_system": "hexagonal",
  "vol_a3_per_cell": 461.5,
  "final_energy_ev_per_cell": -43.27,
  "e_form_raw_ev_per_fu": -2.70,
  "rho_g_cm3": 3.04,
  "lattice_angstrom": [[5.354, 0.000, 0.000], [-2.677, 4.637, 0.000], [0.000, 0.000, 18.588]],
  "species": ["Na", "Na", "Na", "Na", "Na", "Na", "Na", "Na", "Na", "Na", "Cu", "Cu", "Sb", "Sb", "Sb", "Sb"],
  "frac_coords": [[0.000, 0.000, 0.144], [0.000, 0.000, 0.356], [0.000, 0.000, 0.644], [0.000, 0.000, 0.856], [0.333, 0.667, 0.054], [0.333, 0.667, 0.250], [0.333, 0.667, 0.446], [0.667, 0.333, 0.554], [0.667, 0.333, 0.750], [0.667, 0.333, 0.946], [0.333, 0.667, 0.750], [0.667, 0.333, 0.250], [0.333, 0.667, 0.617], [0.333, 0.667, 0.883], [0.667, 0.333, 0.117], [0.667, 0.333, 0.383]]
}



{
  "formula": "Na2Cu3Sb4",
  "functional": "PBE-GGA",
  "state": "relaxed",
  "crystal_system": "orthorhombic",
  "vol_a3_per_cell": 213.2,
  "final_energy_ev_per_cell": -31.81,
  "e_form_raw_ev_per_fu": -0.39,
  "rho_g_cm3": 5.64,
  "lattice_angstrom": [[0.000, 5.309, 6.900], [2.910, 0.000, 6.900], [2.910, 5.309, 0.000]],
  "species": ["Na", "Na", "Cu", "Cu", "Cu", "Sb", "Sb", "Sb", "Sb"],
  "frac_coords": [[0.131, 0.131, 0.869], [0.869, 0.869, 0.131], [0.000, 0.000, 0.500], [0.500, 0.500, 0.000], [0.500, 0.500, 0.500], [0.196, 0.516, 0.484], [0.484, 0.804, 0.196], [0.516, 0.196, 0.804], [0.804, 0.484, 0.516]]
}



{
  "formula": "Na2CuSb2",
  "functional": "PBE-GGA",
  "state": "relaxed",
  "crystal_system": "monoclinic",
  "de_polymorph_mev_per_atom": 0,
  "vol_a3_per_cell": 251.3,
  "final_energy_ev_per_cell": -32.48,
  "e_form_raw_ev_per_fu": -1.26,
  "rho_g_cm3": 4.66,
  "lattice_angstrom": [[5.670, -2.301, 0.000], [5.670, 2.301, 0.000], [-5.385, 0.000, 9.634]],
  "species": ["Na", "Na", "Na", "Na", "Cu", "Cu", "Sb", "Sb", "Sb", "Sb"],
  "frac_coords": [[0.006, 0.006, 0.176], [0.190, 0.190, 0.605], [0.810, 0.810, 0.395], [0.994, 0.994, 0.824], [0.280, 0.280, 0.145], [0.720, 0.720, 0.855], [0.353, 0.353, 0.941], [0.489, 0.489, 0.623], [0.511, 0.511, 0.377], [0.647, 0.647, 0.059]]
}



{
  "formula": "Na2CuSb",
  "functional": "PBE-GGA",
  "state": "relaxed",
  "crystal_system": "tetragonal",
  "vol_a3_per_cell": 305.0,
  "final_energy_ev_per_cell": -22.05,
  "e_form_raw_ev_per_fu": -0.17,
  "rho_g_cm3": 2.52,
  "lattice_angstrom": [[-5.666, 5.666, 2.375], [5.666, -5.666, 2.375], [5.666, 5.666, -2.375]],
  "species": ["Na", "Na", "Na", "Na", "Cu", "Cu", "Sb", "Sb"],
  "frac_coords": [[0.375, 0.126, 0.251], [0.874, 0.125, 0.249], [0.875, 0.124, 0.749], [0.876, 0.625, 0.751], [0.000, 0.000, 0.000], [0.750, 0.250, 0.500], [0.250, 0.750, 0.500], [0.500, 0.500, 0.000]]
}



{
  "formula": "NaCuSb2",
  "functional": "PBE-GGA",
  "state": "relaxed",
  "crystal_system": "tetragonal",
  "de_polymorph_mev_per_atom": 140,
  "vol_a3_per_cell": 218.1,
  "final_energy_ev_per_cell": -27.21,
  "e_form_raw_ev_per_fu": 0.06,
  "rho_g_cm3": 5.03,
  "lattice_angstrom": [[-2.485, 2.485, 8.831], [2.485, -2.485, 8.831], [2.485, 2.485, -8.831]],
  "species": ["Na", "Na", "Cu", "Cu", "Sb", "Sb", "Sb", "Sb"],
  "frac_coords": [[0.000, 0.000, 0.000], [0.750, 0.250, 0.500], [0.250, 0.750, 0.500], [0.500, 0.500, 0.000], [0.207, 0.625, 0.082], [0.375, 0.457, 0.582], [0.543, 0.125, 0.918], [0.875, 0.793, 0.418]]
}



{
  "formula": "NaCuSb",
  "functional": "PBE-GGA",
  "state": "relaxed",
  "crystal_system": "monoclinic",
  "vol_a3_per_cell": 135.9,
  "final_energy_ev_per_cell": -19.65,
  "e_form_raw_ev_per_fu": -0.29,
  "rho_g_cm3": 5.09,
  "lattice_angstrom": [[5.220, -2.268, 0.000], [5.220, 2.268, 0.000], [-4.949, 0.000, 5.741]],
  "species": ["Na", "Na", "Cu", "Cu", "Sb", "Sb"],
  "frac_coords": [[0.067, 0.067, 0.313], [0.933, 0.933, 0.687], [0.339, 0.339, 0.907], [0.661, 0.661, 0.093], [0.334, 0.334, 0.256], [0.666, 0.666, 0.744]]
}



{
  "formula": "NaCuSb",
  "functional": "PBE-GGA",
  "state": "relaxed",
  "crystal_system": "hexagonal",
  "vol_a3_per_cell": 64.0,
  "final_energy_ev_per_cell": -10.02,
  "e_form_raw_ev_per_fu": -0.48,
  "rho_g_cm3": 5.41,
  "lattice_angstrom": [[4.609, 0.000, 0.000], [-2.305, 3.992, 0.000], [0.000, 0.000, 3.476]],
  "species": ["Na", "Cu", "Sb"],
  "frac_coords": [[0.000, 0.000, 0.000], [0.333, 0.667, 0.500], [0.667, 0.333, 0.500]]
}